# Sc4GeIr

An optimized crystal structure of Sc4GeIr (PBE, the Alexandria database).

Geometry as POSCAR:
```
Sc4GeIr
1.0
4.5159 0.0000 0.0000
0.0000 4.5159 0.0000
0.0000 0.0000 6.6200
Sc Ge Ir
4 1 1
Direct
0.0000 0.5000 0.2380
0.0000 0.5000 0.7620
0.5000 0.0000 0.2380
0.5000 0.0000 0.7620
0.0000 0.0000 0.5000
0.5000 0.5000 0.0000
```

## Properties
ΔE_f: -0.6270 eV per atom
Magnetization: 0.000 μB/atom
Uncorrected energy: -7.09 eV/atom
SG: P4/mmm, No. 123

***

# GaSbOs3

An optimized crystal structure of GaSbOs3 (PBE, the Alexandria database).

Geometry as POSCAR:
```
GaSbOs3
1.0
4.5563 0.0000 0.0000
0.0000 4.5563 0.0000
0.0000 0.0000 4.5563
Ga Sb Os
1 1 3
Direct
0.0000 0.0000 0.0000
0.5000 0.5000 0.5000
0.0000 0.0000 0.5000
0.0000 0.5000 0.0000
0.5000 0.0000 0.0000
```

## Properties
Polymorph energy (0 for the lowest one): 0.000 eV/atom
Uncorrected formation energy: 1.739 eV per atom
Magnetization: 0.000 μB/atom
Uncorrected energy: -6.43 eV/atom
SG: Pm-3m, No. 221

***

# KTh2RuN4

An optimized crystal structure of KTh2RuN4 (PBE, the Alexandria database).

Geometry as POSCAR:
```
KTh2RuN4
1.0
1.8274 -6.3407 0.0000
1.8274 6.3407 0.0000
0.0000 0.0000 12.5550
K Th Ru N
2 4 2 8
Direct
0.0726 0.9274 0.7500
0.9274 0.0726 0.2500
0.3672 0.6328 0.5506
0.3672 0.6328 0.9494
0.6328 0.3672 0.0506
0.6328 0.3672 0.4494
0.2034 0.7966 0.2500
0.7966 0.2034 0.7500
0.0000 0.0000 0.0000
0.0000 0.0000 0.5000
0.2476 0.7524 0.0972
0.2476 0.7524 0.4028
0.3619 0.6381 0.7500
0.6381 0.3619 0.2500
0.7524 0.2476 0.5972
0.7524 0.2476 0.9028
```

## Properties
Uncorrected formation energy: -0.854 eV per atom
Magnetization: 0.000 μB/atom
Uncorrected energy: -8.17 eV/atom
SG: Cmcm, No. 63